Version i
This record from Alexandria describes a geometry-optimized TlZnSb2 structure. The functional is PBE-GGA.

Summary:
**Calculated density**: 7.7 g/cm3

The structure in POSCAR format:
```
TlZnSb2
1.0
-0.7371 -2.8876 3.1652
2.9984 -3.0030 0.9442
3.5610 2.2553 5.8725
Tl Zn Sb
1 1 2
direct
0.4994 0.4994 0.5018
0.6676 0.6676 0.9971
0.0642 0.0642 0.8075
0.2688 0.2688 0.1935
```

Version ii
This record from Alexandria describes a geometry-optimized TlZnSb2 structure. The functional is PBE-GGA.

Summary:
**Calculated density**: 8.0 g/cm3

The structure in POSCAR format:
```
TlZnSb2
1.0
-2.7900 3.3090 1.2439
-3.0009 -1.3793 -3.0616
-2.1832 -3.1845 3.5745
Sb Tl Zn
2 1 1
direct
0.0000 0.0000 0.0000
0.5000 0.5000 0.0000
0.5000 0.0000 0.5000
0.0000 0.5000 0.5000
```

Version iii
This record from Alexandria describes a geometry-optimized TlZnSb2 structure. The functional is PBE-GGA.

Summary:
**Calculated density**: 7.6 g/cm3

The structure in POSCAR format:
```
TlZnSb2
1.0
6.3800 0.1665 -0.0900
2.9383 5.6656 0.0900
-4.1986 -3.6519 3.1266
Sb Tl Zn
2 1 1
direct
0.9785 0.9785 0.0000
0.7822 0.2822 0.5000
0.5177 0.5177 0.0000
0.2216 0.7216 0.5000
```

Version iv
This record from Alexandria describes a geometry-optimized TlZnSb2 structure. The functional is PBE-GGA.

Summary:
**Calculated density**: 8.0 g/cm3

The structure in POSCAR format:
```
TlZnSb2
1.0
4.3061 0.0205 -0.0521
3.1129 2.9754 -0.0521
0.6811 0.2750 8.3461
Sb Tl Zn
2 1 1
direct
0.0111 0.0111 0.9729
0.2472 0.2472 0.2351
0.4947 0.4947 0.5260
0.7470 0.7470 0.7660
```

Last place for stability: version ii

Version i
This record from Alexandria describes a geometry-optimized TlZnSb2 structure. The functional is PBE-GGA.

Summary:
**Calculated density**: 7.9 g/cm3

The structure in POSCAR format:
```
TlZnSb2
1.0
6.1375 -0.1116 0.0000
-2.9261 5.3962 0.0000
0.0000 0.0000 3.2874
Sb Tl Zn
2 1 1
direct
0.0000 0.0000 0.0000
0.5000 0.5000 0.0000
0.5000 0.0000 0.5000
0.0000 0.5000 0.5000
```

Version ii
This record from Alexandria describes a geometry-optimized TlZnSb2 structure. The functional is PBE-GGA.

Summary:
**Calculated density**: 8.1 g/cm3

The structure in POSCAR format:
```
TlZnSb2
1.0
-1.5939 -2.4190 4.5695
1.2851 -5.0193 -1.5583
3.4799 4.1410 -0.1223
Sb Tl Zn
2 1 1
direct
0.0000 0.0000 0.0000
0.2500 0.7500 0.5000
0.5000 0.5000 0.0000
0.7500 0.2500 0.5000
```

Version iii
This record from Alexandria describes a geometry-optimized TlZnSb2 structure. The functional is PBE-GGA.

Summary:
**Calculated density**: 8.2 g/cm3

The structure in POSCAR format:
```
TlZnSb2
1.0
6.3171 0.0180 0.1892
2.9134 5.6052 -0.1892
-3.9591 -3.8887 3.0242
Sb Tl Zn
2 1 1
direct
0.0374 0.0374 0.0000
0.4626 0.4626 0.0000
0.7500 0.2500 0.5000
0.2500 0.7500 0.5000
```

Version iv
This record from Alexandria describes a geometry-optimized TlZnSb2 structure. The functional is PBE-GGA.

Summary:
**Calculated density**: 8.3 g/cm3

The structure in POSCAR format:
```
TlZnSb2
1.0
-2.9451 -0.4339 1.3795
-0.3302 -1.3139 -2.9882
2.9291 -8.7204 3.5107
Sb Tl Zn
2 1 1
direct
0.0000 0.0000 0.9657
0.5000 0.5000 0.2487
0.0000 0.0000 0.5250
0.5000 0.5000 0.7606
```

Last place for stability: version i

Version i
This record from Alexandria describes a geometry-optimized TlZn2Sb2 structure. The functional is PBE-GGA.

Summary:
**Calculated density**: 7.2 g/cm3

The structure in POSCAR format:
```
TlZn2Sb2
1.0
4.0877 0.0000 0.0000
0.0000 4.0877 0.0000
2.0438 2.0438 8.0074
Sb Tl Zn
2 1 2
direct
0.3658 0.3658 0.2684
0.6342 0.6342 0.7316
0.0000 0.0000 0.0000
0.7500 0.2500 0.5000
0.2500 0.7500 0.5000
```

Version ii
This record from Alexandria describes a geometry-optimized TlZn2Sb2 structure. The functional is PBE-GGA.

Summary:
**Calculated density**: 7.4 g/cm3

The structure in POSCAR format:
```
TlZn2Sb2
1.0
4.7028 0.0000 0.0000
0.0000 4.7028 0.0000
2.3514 2.3514 5.8747
Sb Tl Zn
2 1 2
direct
0.7500 0.2500 0.5000
0.2500 0.7500 0.5000
0.0000 0.0000 0.0000
0.3958 0.3958 0.2083
0.6042 0.6042 0.7917
```

Version iii
This record from Alexandria describes a geometry-optimized TlZn2Sb2 structure. The functional is PBE-GGA.

Summary:
**Calculated density**: 7.0 g/cm3

The structure in POSCAR format:
```
TlZn2Sb2
1.0
4.2881 0.0000 0.0000
0.0000 10.5091 0.0000
0.0000 0.0000 12.1327
Tl Zn Sb
4 8 8
direct
0.2500 0.2436 0.8096
0.7500 0.2564 0.3096
0.7500 0.7564 0.1904
0.2500 0.7436 0.6904
0.7500 0.0418 0.6313
0.2500 0.4582 0.1313
0.2500 0.9582 0.3687
0.7500 0.5418 0.8687
0.2500 0.4018 0.5356
0.7500 0.0982 0.0356
0.7500 0.5982 0.4644
0.2500 0.9018 0.9644
0.7500 0.4663 0.6592
0.2500 0.0337 0.1592
0.2500 0.5337 0.3408
0.7500 0.9663 0.8408
0.2500 0.1450 0.5316
0.7500 0.3550 0.0316
0.7500 0.8550 0.4684
0.2500 0.6450 0.9684
```

Last place for stability: version ii

Version i
This record from Alexandria describes a geometry-optimized TlZn2Sb2 structure. The functional is PBE-GGA.

Summary:
**Calculated density**: 7.1 g/cm3

The structure in POSCAR format:
```
TlZn2Sb2
1.0
-2.7534 5.7356 -3.8825
-4.7687 -4.8333 3.0742
3.6137 2.6220 5.0266
Sb Tl Zn
4 2 4
direct
0.6307 0.1309 0.7882
0.3427 0.8426 0.2107
0.1403 0.3256 0.4995
0.8255 0.6402 0.4993
0.2646 0.2703 0.0020
0.7704 0.7647 0.0020
0.4737 0.2805 0.5002
0.7805 0.9737 0.5002
0.2686 0.7687 0.7590
0.0087 0.5085 0.2390
```

Version ii
This record from Alexandria describes a geometry-optimized TlZn2Sb2 structure. The functional is PBE-GGA.

Summary:
**Calculated density**: 7.9 g/cm3

The structure in POSCAR format:
```
TlZn2Sb2
1.0
-5.1156 3.6415 5.5684
-3.1370 -7.5144 2.0322
2.3998 -0.3446 2.4300
Sb Tl Zn
4 2 4
direct
0.1586 0.6586 0.5000
0.6586 0.8414 0.5000
0.8414 0.3414 0.5000
0.3414 0.1586 0.5000
0.0000 0.0000 0.0000
0.5000 0.5000 0.0000
0.3675 0.8675 0.0000
0.8675 0.6325 0.0000
0.6325 0.1325 0.0000
0.1325 0.3675 0.0000
```

Last place for stability: version ii

Version i
This record from Alexandria describes a geometry-optimized ZrTl2Sb structure. The functional is PBE-GGA.

Summary:
**Calculated density**: 10.1 g/cm3

The structure in POSCAR format:
```
ZrTl2Sb
1.0
-4.6944 3.1669 -1.3071
1.2986 -3.9593 -4.0513
-1.9067 -2.1937 1.5328
Sb Tl Zr
1 2 1
direct
0.0000 0.5000 0.5000
0.0000 0.0000 0.0000
0.5000 0.5000 0.0000
0.5000 0.0000 0.5000
```

Version ii
This record from Alexandria describes a geometry-optimized ZrTl2Sb structure. The functional is PBE-GGA.

Summary:
**Calculated density**: 9.7 g/cm3

The structure in POSCAR format:
```
ZrTl2Sb
1.0
-2.3870 -2.1223 -2.2239
2.9639 -2.3359 -0.9520
-1.4678 -4.0990 5.4873
Sb Tl Zr
1 2 1
direct
0.5000 0.5000 0.7007
0.0000 0.0000 0.0023
0.5000 0.5000 0.2585
0.0000 0.0000 0.5386
```

Version iii
This record from Alexandria describes a geometry-optimized ZrTl2Sb structure. The functional is PBE-GGA.

Summary:
**Calculated density**: 10.1 g/cm3

The structure in POSCAR format:
```
ZrTl2Sb
1.0
4.0993 0.0000 0.0000
0.0000 4.0993 0.0000
0.0000 0.0000 6.0889
Sb Tl Zr
1 2 1
direct
0.5000 0.5000 0.7500
0.0000 0.0000 0.0075
0.0000 0.0000 0.4925
0.5000 0.5000 0.2500
```

Last place for stability: version iii

Version i
This record from Alexandria describes a geometry-optimized ZrTl2Sb structure. The functional is PBE-GGA.

Summary:
**Calculated density**: 10.0 g/cm3

The structure in POSCAR format:
```
ZrTl2Sb
1.0
-3.1253 0.9194 0.2114
-0.0609 -0.9265 3.1297
2.7963 8.8880 2.6856
Sb Tl Zr
1 2 1
direct
0.5000 0.5000 0.7500
0.0000 0.0000 0.0186
0.0000 0.0000 0.4814
0.5000 0.5000 0.2500
```

Version ii
This record from Alexandria describes a geometry-optimized ZrTl2Sb structure. The functional is PBE-GGA.

Summary:
**Calculated density**: 10.2 g/cm3

The structure in POSCAR format:
```
ZrTl2Sb
1.0
-2.2773 -4.6175 2.7173
1.2299 -4.9739 -2.7637
2.9399 4.5214 2.1921
Sb Tl Zr
1 2 1
direct
0.2592 0.7592 0.5000
0.9981 0.9981 0.0000
0.7435 0.2435 0.5000
0.4992 0.4992 0.0000
```

Version iii
This record from Alexandria describes a geometry-optimized ZrTl2Sb structure. The functional is PBE-GGA.

Summary:
**Calculated density**: 9.5 g/cm3

The structure in POSCAR format:
```
ZrTl2Sb
1.0
-5.2384 -2.9506 9.4134
-5.2370 -5.9577 7.8637
-2.5459 -4.9828 9.6669
Sb Tl Zr
1 2 1
direct
0.7613 0.7613 0.7613
0.9974 0.9974 0.9974
0.2421 0.2421 0.2421
0.4992 0.4992 0.4992
```

Version iv
This record from Alexandria describes a geometry-optimized ZrTl2Sb structure. The functional is PBE-GGA.

Summary:
**Calculated density**: 9.8 g/cm3

The structure in POSCAR format:
```
ZrTl2Sb
1.0
5.3031 0.0000 0.0000
2.6516 4.5926 0.0000
2.6516 1.5309 4.3300
Sb Tl Zr
1 2 1
direct
0.5000 0.5000 0.5000
0.0000 0.0000 0.0000
0.2500 0.2500 0.2500
0.7500 0.7500 0.7500
```

Last place for stability: version i

Version i
This record from Alexandria describes a geometry-optimized ZrTl2Sb structure. The functional is PBE-GGA.

Summary:
**Calculated density**: 10.0 g/cm3

The structure in POSCAR format:
```
ZrTl2Sb
1.0
3.2840 0.0249 0.0000
-0.8995 3.1585 0.0000
0.0000 0.0000 9.8981
Sb Tl Zr
1 2 1
direct
0.5000 0.5000 0.7500
0.0000 0.0000 0.0135
0.0000 0.0000 0.4865
0.5000 0.5000 0.2500
```

Version ii
This record from Alexandria describes a geometry-optimized ZrTl2Sb structure. The functional is PBE-GGA.

Summary:
**Calculated density**: 10.0 g/cm3

The structure in POSCAR format:
```
ZrTl2Sb
1.0
-1.6342 4.7193 -2.8878
-2.5798 2.1845 -4.6749
-5.2720 0.3229 2.3318
Sb Tl Zr
1 2 1
direct
0.2374 0.2374 0.2887
0.0025 0.0025 0.9801
0.7557 0.7557 0.7594
0.5044 0.5044 0.4718
```

Last place for stability: version i

Version i
This record from Alexandria describes a geometry-optimized ZrTl2Sb structure. The functional is PBE-GGA.

Summary:
**Calculated density**: 9.9 g/cm3

The structure in POSCAR format:
```
ZrTl2Sb
1.0
6.3453 0.0008 -0.0123
3.4009 5.3569 0.0123
-4.8629 -2.6973 3.0560
Sb Tl Zr
1 2 1
direct
0.2500 0.7500 0.5000
0.9992 0.9992 0.0000
0.5008 0.5008 0.0000
0.7500 0.2500 0.5000
```

Version ii
This record from Alexandria describes a geometry-optimized ZrTl2Sb structure. The functional is PBE-GGA.

Summary:
**Calculated density**: 9.4 g/cm3

The structure in POSCAR format:
```
ZrTl2Sb
1.0
-0.4361 3.8307 7.5451
-7.2567 -4.0553 1.6394
-2.2823 -2.4042 5.8463
Sb Tl Zr
2 4 2
direct
0.0000 0.0000 0.0000
0.7500 0.2500 0.5000
0.6188 0.1250 0.2500
0.1312 0.6250 0.2500
0.3750 0.3812 0.7500
0.8750 0.8688 0.7500
0.5000 0.5000 0.0000
0.2500 0.7500 0.5000
```

Version iii
This record from Alexandria describes a geometry-optimized ZrTl2Sb structure. The functional is PBE-GGA.

Summary:
**Calculated density**: 9.8 g/cm3

The structure in POSCAR format:
```
ZrTl2Sb
1.0
-4.9519 2.9719 1.6202
-0.4176 -2.0589 2.5005
2.9135 3.0568 3.2975
Sb Tl Zr
1 2 1
direct
0.5000 0.7500 0.7500
0.0000 0.0010 0.0033
0.0000 0.4990 0.4967
0.5000 0.2500 0.2500
```

Last place for stability: version ii

Version i
This record from Alexandria describes a geometry-optimized Tm3Sb2 structure. The functional is PBE-GGA.

Summary:
**Calculated density**: 8.5 g/cm3

The structure in POSCAR format:
```
Tm3Sb2
1.0
-1.9310 1.9252 -4.3870
-3.1435 -2.1955 3.4611
-0.8112 5.5948 2.8123
Tm Sb
3 2
direct
0.0000 0.0000 0.0000
0.3333 0.6667 0.3001
0.6667 0.3333 0.6999
0.3333 0.6667 0.7849
0.6667 0.3333 0.2151
```

Version ii
This record from Alexandria describes a geometry-optimized Tm3Sb2 structure. The functional is PBE-GGA.

Summary:
**Calculated density**: 9.0 g/cm3

The structure in POSCAR format:
```
Tm3Sb2
1.0
-0.7210 -7.7351 -1.6026
4.1485 -4.4602 5.0810
-4.7089 -3.6647 5.2265
Tm Sb
9 6
direct
0.0000 0.0000 0.0000
0.8166 0.8166 0.8166
0.1834 0.1834 0.1834
0.3362 0.5812 0.8343
0.8343 0.3362 0.5812
0.5812 0.8343 0.3362
0.6638 0.4188 0.1657
0.1657 0.6638 0.4188
0.4188 0.1657 0.6638
0.1861 0.9672 0.5921
0.5921 0.1861 0.9672
0.9672 0.5921 0.1861
0.8139 0.0328 0.4079
0.4079 0.8139 0.0328
0.0328 0.4079 0.8139
```

Last place for stability: version i